# 1
## SrNdPa2As4 (PBE)

Data for crystalline SrNdPa2As4 at its relaxed geometry.

Cell lengths 7.309, 7.309, 7.309 Å; angles 132.02, 132.02, 70.20 degrees
Sites, in units of the cell vectors:
Sr (0.000, 0.000, 0.000)
Nd (0.250, 0.750, 0.500)
Pa (0.500, 0.500, 0.000)
Pa (0.750, 0.250, 0.500)
As (0.260, 0.260, 0.000)
As (0.508, 0.008, 0.500)
As (0.740, 0.740, 0.000)
As (0.992, 0.492, 0.500)

Properties
Energy relative to the elements: -1.165 eV/atom
Crystal system: tetragonal
Energy: -6.670 eV/atom

***

# 2
## CaBeAl2Pt4 (PBE)

Data for crystalline CaBeAl2Pt4 at its relaxed geometry.

Cell lengths 8.793, 8.793, 8.793 Å; angles 28.13, 28.13, 28.13 degrees
Sites, in units of the cell vectors:
Ca (0.000, 0.000, 0.000)
Be (0.500, 0.500, 0.500)
Al (0.240, 0.240, 0.240)
Al (0.760, 0.760, 0.760)
Pt (0.136, 0.136, 0.136)
Pt (0.410, 0.410, 0.410)
Pt (0.590, 0.590, 0.590)
Pt (0.864, 0.864, 0.864)

Properties
Energy relative to the elements: -0.921 eV/atom
Crystal system: trigonal
Energy: -5.593 eV/atom

***

# 3
## La4Pr2Nd2Mg (PBE)

Data for crystalline La4Pr2Nd2Mg at its relaxed geometry.

Cell lengths 6.332, 6.375, 8.185 Å; angles 75.04, 82.45, 80.48 degrees
Sites, in units of the cell vectors:
La (0.051, 0.283, 0.391)
La (0.171, 0.834, 0.166)
La (0.829, 0.166, 0.834)
La (0.949, 0.717, 0.609)
Pr (0.279, 0.389, 0.937)
Pr (0.721, 0.611, 0.063)
Nd (0.393, 0.941, 0.715)
Nd (0.607, 0.059, 0.285)
Mg (0.500, 0.500, 0.500)

Properties
Energy relative to the elements: 0.007 eV/atom
Crystal system: triclinic
Energy: -4.482 eV/atom

***

# 4
## Tl2GeI4 (PBE)

Data for crystalline Tl2GeI4 at its relaxed geometry.

Cell lengths 8.607, 8.607, 8.607 Å; angles 121.96, 121.96, 86.64 degrees
Sites, in units of the cell vectors:
Tl (0.250, 0.750, 0.500)
Tl (0.750, 0.250, 0.500)
Ge (0.000, 0.000, 0.000)
I (0.100, 0.673, 0.000)
I (0.327, 0.327, 0.427)
I (0.673, 0.100, 0.000)
I (0.900, 0.900, 0.573)

Properties
Distance to the lowest polymorph of the same formula: 62 meV/atom
Crystal system: tetragonal
Energy: -2.642 eV/atom

***

# 5
## RbRuRh (PBE)

Data for crystalline RbRuRh at its relaxed geometry.

Cell lengths 4.500, 4.554, 8.351 Å; angles 89.66, 89.84, 83.37 degrees
Sites, in units of the cell vectors:
Rb (0.000, 0.000, 0.000)
Rb (0.497, 0.499, 0.670)
Ru (0.461, 0.457, 0.224)
Ru (0.972, 0.531, 0.338)
Rh (0.035, 0.038, 0.455)
Rh (0.533, 0.964, 0.335)

Properties
Distance to the lowest polymorph of the same formula: 64 meV/atom
Energy relative to the elements: 0.552 eV/atom
Crystal system: triclinic
Energy: -5.313 eV/atom

***

# 6
## Ba3TiNb4O15 (PBE)

Data for crystalline Ba3TiNb4O15 at its relaxed geometry.

Cell lengths 12.687, 12.687, 4.131 Å; angles 90.00, 90.00, 90.00 degrees
Sites, in units of the cell vectors:
Ba (0.000, 0.000, 0.000)
Ba (0.164, 0.336, 0.989)
Ba (0.336, 0.836, 0.989)
Ba (0.500, 0.500, 0.000)
Ba (0.664, 0.164, 0.989)
Ba (0.836, 0.664, 0.989)
Ti (0.000, 0.500, 0.461)
Ti (0.500, 0.000, 0.461)
Nb (0.074, 0.784, 0.481)
Nb (0.216, 0.074, 0.481)
Nb (0.284, 0.574, 0.481)
Nb (0.426, 0.284, 0.481)
Nb (0.574, 0.716, 0.481)
Nb (0.716, 0.426, 0.481)
Nb (0.784, 0.926, 0.481)
Nb (0.926, 0.216, 0.481)
O (0.000, 0.500, 0.038)
O (0.005, 0.345, 0.524)
O (0.067, 0.141, 0.526)
O (0.077, 0.792, 0.026)
O (0.141, 0.933, 0.526)
O (0.155, 0.495, 0.524)
O (0.208, 0.077, 0.026)
O (0.220, 0.720, 0.525)
O (0.280, 0.220, 0.525)
O (0.292, 0.577, 0.026)
O (0.345, 0.995, 0.524)
O (0.359, 0.433, 0.526)
O (0.423, 0.292, 0.026)
O (0.433, 0.641, 0.526)
O (0.495, 0.845, 0.524)
O (0.500, 0.000, 0.038)
O (0.505, 0.155, 0.524)
O (0.567, 0.359, 0.526)
O (0.577, 0.708, 0.026)
O (0.641, 0.567, 0.526)
O (0.655, 0.005, 0.524)
O (0.708, 0.423, 0.026)
O (0.720, 0.780, 0.525)
O (0.780, 0.280, 0.525)
O (0.792, 0.923, 0.026)
O (0.845, 0.505, 0.524)
O (0.859, 0.067, 0.526)
O (0.923, 0.208, 0.026)
O (0.933, 0.859, 0.526)
O (0.995, 0.655, 0.524)

Properties
Distance to the lowest polymorph of the same formula: 0 meV/atom
Crystal system: tetragonal
Energy: -8.394 eV/atom

***

# 7
## YWN3 (PBE)

Data for crystalline YWN3 at its relaxed geometry.

Cell lengths 8.384, 8.384, 8.384 Å; angles 152.36, 152.36, 39.49 degrees
Sites, in units of the cell vectors:
Y (0.100, 0.100, 0.000)
Y (0.900, 0.900, 0.000)
W (0.500, 0.500, 0.000)
W (0.750, 0.250, 0.500)
N (0.023, 0.523, 0.500)
N (0.175, 0.348, 0.828)
N (0.477, 0.977, 0.500)
N (0.520, 0.348, 0.172)
N (0.652, 0.480, 0.828)
N (0.652, 0.825, 0.172)

Properties
Crystal system: tetragonal
Energy: -9.252 eV/atom

***

# 8
## CaTaCo2 (PBE)

Data for crystalline CaTaCo2 at its relaxed geometry.

Cell lengths 7.819, 7.819, 7.819 Å; angles 24.20, 24.20, 24.20 degrees
Sites, in units of the cell vectors:
Ca (0.000, 0.000, 0.000)
Ta (0.500, 0.500, 0.500)
Co (0.236, 0.236, 0.236)
Co (0.764, 0.764, 0.764)

Properties
Distance to the lowest polymorph of the same formula: 353 meV/atom
Energy relative to the elements: 0.341 eV/atom
Crystal system: trigonal
Energy: -6.675 eV/atom

***

# 9
## Li3ZnH (PBE)

Data for crystalline Li3ZnH at its relaxed geometry.

Cell lengths 3.990, 3.990, 3.990 Å; angles 90.00, 90.00, 90.00 degrees
Sites, in units of the cell vectors:
Li (0.000, 0.000, 0.500)
Li (0.000, 0.500, 0.000)
Li (0.500, 0.000, 0.000)
Zn (0.500, 0.500, 0.500)
H (0.000, 0.000, 0.000)

Properties
Distance to the lowest polymorph of the same formula: 0 meV/atom
Crystal system: cubic
Energy: -2.251 eV/atom

***

# 10
## Sm2Dy5Ho6 (PBE)

Data for crystalline Sm2Dy5Ho6 at its relaxed geometry.

Cell lengths 11.627, 20.150, 3.569 Å; angles 90.00, 90.00, 90.00 degrees
Sites, in units of the cell vectors:
Sm (0.168, 0.213, 0.000)
Sm (0.332, 0.713, 0.000)
Sm (0.668, 0.287, 0.000)
Sm (0.832, 0.787, 0.000)
Dy (0.000, 0.500, 0.500)
Dy (0.090, 0.775, 0.500)
Dy (0.199, 0.050, 0.500)
Dy (0.301, 0.550, 0.500)
Dy (0.410, 0.275, 0.500)
Dy (0.500, 0.000, 0.500)
Dy (0.590, 0.725, 0.500)
Dy (0.699, 0.450, 0.500)
Dy (0.801, 0.950, 0.500)
Dy (0.910, 0.225, 0.500)
Ho (0.059, 0.921, 0.000)
Ho (0.081, 0.632, 0.000)
Ho (0.176, 0.369, 0.500)
Ho (0.324, 0.869, 0.500)
Ho (0.419, 0.132, 0.000)
Ho (0.441, 0.421, 0.000)
Ho (0.559, 0.579, 0.000)
Ho (0.581, 0.868, 0.000)
Ho (0.676, 0.131, 0.500)
Ho (0.824, 0.631, 0.500)
Ho (0.919, 0.368, 0.000)
Ho (0.941, 0.079, 0.000)

Properties
Energy relative to the elements: 0.099 eV/atom
Crystal system: orthorhombic
Energy: -4.510 eV/atom

***

# 11
## Ac3Sb2PPd9 (PBE)

Data for crystalline Ac3Sb2PPd9 at its relaxed geometry.

Cell lengths 7.024, 7.024, 8.228 Å; angles 90.00, 90.00, 120.00 degrees
Sites, in units of the cell vectors:
Ac (0.000, 0.000, 0.000)
Ac (0.333, 0.667, 0.677)
Ac (0.667, 0.333, 0.323)
Sb (0.333, 0.667, 0.205)
Sb (0.667, 0.333, 0.795)
P (0.000, 0.000, 0.500)
Pd (0.000, 0.500, 0.000)
Pd (0.137, 0.275, 0.311)
Pd (0.137, 0.863, 0.311)
Pd (0.275, 0.137, 0.689)
Pd (0.500, 0.000, 0.000)
Pd (0.500, 0.500, 0.000)
Pd (0.725, 0.863, 0.311)
Pd (0.863, 0.137, 0.689)
Pd (0.863, 0.725, 0.689)

Properties
Crystal system: trigonal
Energy: -5.521 eV/atom

***

# 12
## TcGe (PBE)

Data for crystalline TcGe at its relaxed geometry.

Cell lengths 2.942, 6.545, 6.545 Å; angles 127.93, 90.00, 90.00 degrees
Sites, in units of the cell vectors:
Tc (0.000, 0.000, 0.000)
Tc (0.500, 0.586, 0.838)
Tc (0.500, 0.838, 0.586)
Ge (0.000, 0.280, 0.868)
Ge (0.000, 0.437, 0.437)
Ge (0.000, 0.868, 0.280)

Properties
Distance to the lowest polymorph of the same formula: 203 meV/atom
Energy relative to the elements: 0.022 eV/atom
Crystal system: orthorhombic
Energy: -7.470 eV/atom

***

# 13
## CaSm12Tm6 (PBE)

Data for crystalline CaSm12Tm6 at its relaxed geometry.

Cell lengths 8.769, 8.769, 8.769 Å; angles 98.07, 98.07, 98.07 degrees
Sites, in units of the cell vectors:
Ca (0.000, 0.000, 0.000)
Sm (0.085, 0.358, 0.358)
Sm (0.240, 0.500, 0.760)
Sm (0.240, 0.760, 0.500)
Sm (0.358, 0.085, 0.358)
Sm (0.358, 0.358, 0.085)
Sm (0.500, 0.240, 0.760)
Sm (0.500, 0.760, 0.240)
Sm (0.642, 0.642, 0.915)
Sm (0.642, 0.915, 0.642)
Sm (0.760, 0.240, 0.500)
Sm (0.760, 0.500, 0.240)
Sm (0.915, 0.642, 0.642)
Tm (0.100, 0.100, 0.656)
Tm (0.100, 0.656, 0.100)
Tm (0.344, 0.900, 0.900)
Tm (0.656, 0.100, 0.100)
Tm (0.900, 0.344, 0.900)
Tm (0.900, 0.900, 0.344)

Properties
Energy relative to the elements: 0.190 eV/atom
Crystal system: trigonal
Energy: -4.308 eV/atom

***

# 14
## Na2Sr2Sn (PBE)

Data for crystalline Na2Sr2Sn at its relaxed geometry.

Cell lengths 8.073, 8.073, 5.483 Å; angles 90.00, 90.00, 90.00 degrees
Sites, in units of the cell vectors:
Na (0.130, 0.370, 0.000)
Na (0.370, 0.870, 0.000)
Na (0.630, 0.130, 0.000)
Na (0.870, 0.630, 0.000)
Sr (0.197, 0.697, 0.500)
Sr (0.303, 0.197, 0.500)
Sr (0.697, 0.803, 0.500)
Sr (0.803, 0.303, 0.500)
Sn (0.000, 0.000, 0.000)
Sn (0.500, 0.500, 0.000)

Properties
Distance to the lowest polymorph of the same formula: 120 meV/atom
Energy relative to the elements: -0.134 eV/atom
Crystal system: tetragonal
Energy: -2.135 eV/atom

***

# 15
## CaAs2WBr (PBE)

Data for crystalline CaAs2WBr at its relaxed geometry.

Cell lengths 5.420, 5.420, 5.199 Å; angles 90.00, 90.00, 90.00 degrees
Sites, in units of the cell vectors:
Ca (0.000, 0.000, 0.000)
As (0.000, 0.500, 0.000)
As (0.500, 0.000, 0.000)
W (0.500, 0.500, 0.500)
Br (0.000, 0.000, 0.500)

Properties
Distance to the lowest polymorph of the same formula: 1448 meV/atom
Crystal system: tetragonal
Energy: -3.845 eV/atom

***

# 16
## CsBa2In (PBE)

Data for crystalline CsBa2In at its relaxed geometry.

Cell lengths 4.417, 4.417, 12.129 Å; angles 90.00, 90.00, 90.00 degrees
Sites, in units of the cell vectors:
Cs (0.000, 0.000, 0.000)
Ba (0.500, 0.500, 0.339)
Ba (0.500, 0.500, 0.661)
In (0.000, 0.000, 0.500)

Properties
Energy relative to the elements: -0.172 eV/atom
Crystal system: tetragonal
Energy: -2.031 eV/atom